Entry 1:
Below is crystalline Li3CoNi3O8 at its relaxed geometry, with properties calculated at the PBEsol level.

a b c (Å): 5.7141 5.7141 5.7141
angles (deg): 59.20 59.20 59.20
With the nearest neighbours (Å) after each atom.
Sites, in units of the cell vectors:
Li1 0.0000 0.5000 0.5000  6 O 2.10
Li2 0.5000 0.0000 0.5000  6 O 2.10
Li3 0.5000 0.5000 0.0000  6 O 2.10
Co1 0.5000 0.5000 0.5000  6 O 1.86
Ni1 0.0000 0.0000 0.5000  6 O 1.92-1.93
Ni2 0.0000 0.5000 0.0000  6 O 1.92-1.93
Ni3 0.5000 0.0000 0.0000  6 O 1.92-1.93
O1 0.2391 0.2391 0.2391  3 Ni 1.92, 3 Li 2.10
O2 0.2479 0.7318 0.7318  1 Co 1.86, 2 Ni 1.93
O3 0.2682 0.2682 0.7521  1 Co 1.86, 2 Ni 1.93
O4 0.2682 0.7521 0.2682  1 Co 1.86, 2 Ni 1.93
O5 0.7318 0.2479 0.7318  1 Co 1.86, 2 Ni 1.93
O6 0.7318 0.7318 0.2479  1 Co 1.86, 2 Ni 1.93
O7 0.7521 0.2682 0.2682  1 Co 1.86, 2 Ni 1.93
O8 0.7609 0.7609 0.7609  3 Ni 1.92, 3 Li 2.10


Entry 2:
Below is crystalline Li2Co3NiO8 at its relaxed geometry, with properties calculated at the PBEsol level.

a b c (Å): 5.6447 5.6447 5.6447
angles (deg): 59.53 59.53 59.53
With the nearest neighbours (Å) after each atom.
Sites, in units of the cell vectors:
Li1 0.0000 0.0000 0.0000  4 O 1.88-1.96
Li2 0.3762 0.3762 0.3762  6 O 2.00-2.01
Co1 0.3763 0.3763 0.8850  6 O 1.82-1.92
Co2 0.3763 0.8850 0.3763  6 O 1.82-1.92
Co3 0.8850 0.3763 0.3763  6 O 1.82-1.92
Ni1 0.7563 0.7563 0.7563  4 O 1.86-1.92
O1 0.1268 0.1268 0.5897  2 Co 1.82, 2 Li 1.88-2.00
O2 0.1268 0.5897 0.1268  2 Co 1.82, 2 Li 1.88-2.00
O3 0.1414 0.1414 0.1414  3 Co 1.87, 1 Li 1.96
O4 0.1612 0.6276 0.6276  1 Ni 1.86, 2 Co 1.88, 1 Li 2.01
O5 0.5897 0.1268 0.1268  2 Co 1.82, 2 Li 1.88-2.00
O6 0.6177 0.6177 0.6177  1 Ni 1.92, 3 Co 1.92
O7 0.6276 0.1612 0.6276  1 Ni 1.86, 2 Co 1.88, 1 Li 2.01
O8 0.6276 0.6276 0.1612  1 Ni 1.86, 2 Co 1.88, 1 Li 2.01


no.,total energy (eV for the cell shown),total magnetic moment (μB/f.u.)
1,-93.02,2.03
2,-92.01,5.08